Here is a relaxed structure of DyNi7Sn2As2 from the Alexandria database. Energies are from PBE-GGA.

Lattice parameters (Å, degrees): 4.0463 4.0463 11.6821 84.46 84.46 86.89
Closest atoms and distances in Å follow each position.
Sites, in units of the cell vectors:
Ni 0.9689 0.4570 0.1615  2 As 2.34-2.35
Ni 0.6871 0.6871 0.5408  1 As 2.31, 1 Sn 2.51, 1 Ni 2.51
Ni 0.0311 0.5430 0.8385  2 As 2.34-2.35
Sn 0.0660 0.0660 0.6516  2 Ni 2.51-2.72
Ni 0.5430 0.0311 0.8385  2 As 2.34-2.35
Ni 0.3129 0.3129 0.4592  1 As 2.31, 1 Sn 2.51, 1 Ni 2.51
As 0.5567 0.5567 0.7364  5 Ni 2.31-2.35
As 0.4433 0.4433 0.2636  5 Ni 2.31-2.35
Dy 0.0000 0.0000 0.0000  12 Ni 2.75-2.94
Sn 0.9340 0.9340 0.3484  2 Ni 2.51-2.72
Ni 0.4570 0.9689 0.1615  2 As 2.34-2.35
Ni 0.5000 0.5000 0.0000  8 Ni 2.72-2.79, 4 Dy 2.78-2.94

Its space group is C2/m. As for the magnetization: 0.00 Bohr magnetons per cell. As for the energy: -5.29 eV/atom. The calculation puts the calculated density at 8.43 g/cm3.